LiHfTlFe | PBE | relaxed

**Total DFT energy (no corrections)**: -5.287 eV/atom
**Total magnetic moment**: 8.13 Bohr magnetons per cell

Cell lengths 6.5481, 6.5481, 6.5481 Å; angles 90.00, 90.00, 90.00 degrees
Closest atoms and distances in Å follow each position.
Space group F-43m (No. 216)
Unique sites:
Li 0.0000 0.0000 0.0000 [4 per cell]  4 Fe 2.84, 4 Hf 2.84
Hf 0.2500 0.2500 0.2500 [4 per cell]  4 Tl 2.84, 4 Li 2.84
Tl 0.0000 0.0000 0.5000 [4 per cell]  4 Hf 2.84, 4 Fe 2.84
Fe 0.2500 0.2500 0.7500 [4 per cell]  4 Tl 2.84, 4 Li 2.84


LiHfTlFe | PBE | relaxed

**Total DFT energy (no corrections)**: -5.535 eV/atom
**Total magnetic moment**: 6.73 Bohr magnetons per cell

Cell lengths 6.4293, 6.4293, 6.4293 Å; angles 90.00, 90.00, 90.00 degrees
Closest atoms and distances in Å follow each position.
Space group F-43m (No. 216)
Unique sites:
Li 0.0000 0.0000 0.0000 [4 per cell]  4 Tl 2.78, 4 Hf 2.78
Hf 0.2500 0.2500 0.7500 [4 per cell]  4 Li 2.78, 4 Fe 2.78
Tl 0.2500 0.2500 0.2500 [4 per cell]  4 Fe 2.78, 4 Li 2.78
Fe 0.0000 0.0000 0.5000 [4 per cell]  4 Hf 2.78, 4 Tl 2.78


LiHfZnFe | PBE | relaxed

**Total DFT energy (no corrections)**: -5.199 eV/atom
**Total magnetic moment**: 10.11 Bohr magnetons per cell

Cell lengths 6.2004, 6.2004, 6.2004 Å; angles 90.00, 90.00, 90.00 degrees
Closest atoms and distances in Å follow each position.
Space group F-43m (No. 216)
Unique sites:
Li 0.0000 0.0000 0.0000 [4 per cell]  4 Hf 2.68, 4 Fe 2.68
Hf 0.2500 0.2500 0.7500 [4 per cell]  4 Li 2.68, 4 Zn 2.68
Zn 0.0000 0.0000 0.5000 [4 per cell]  4 Fe 2.68, 4 Hf 2.68
Fe 0.2500 0.2500 0.2500 [4 per cell]  4 Li 2.68, 4 Zn 2.68


Which of these has the lowest total DFT energy (no corrections)?
number 2